This record from Alexandria via LeMat-Bulk describes a relaxed PmErVN3 crystal. The functional is PBE.

Values from the calculation:
- spin magnetization (Bohr magnetons per cell) = 0.0
- SG = P2_1/m
- theoretical density (g/cm³) = 7.25
- Fermi-level density of states (states/eV/f.u.) = 3.1
- formation energy without anion corrections (eV per formula unit) = -7.53

Lattice parameters (Å, degrees): 7.286 3.441 7.498 90.00 98.98 90.00
Positions (direct):
Pm (0.177, 0.250, 0.176)
Pm (0.823, 0.750, 0.824)
Er (0.367, 0.750, 0.836)
Er (0.633, 0.250, 0.164)
V (0.090, 0.250, 0.598)
V (0.910, 0.750, 0.402)
N (0.115, 0.250, 0.846)
N (0.171, 0.750, 0.519)
N (0.406, 0.750, 0.144)
N (0.594, 0.250, 0.856)
N (0.829, 0.250, 0.481)
N (0.885, 0.750, 0.154)

This record from Alexandria via LeMat-Bulk describes a relaxed PmEr2WN4 crystal. The functional is PBE.

Values from the calculation:
- spin magnetization (Bohr magnetons per cell) = 0.0
- SG = Cmcm
- theoretical density (g/cm³) = 10.11
- Fermi-level density of states (states/eV/f.u.) = 2.0
- formation energy without anion corrections (eV per formula unit) = -9.16

Lattice parameters (Å, degrees): 6.124 6.124 11.837 90.00 90.00 147.85
Positions (direct):
Pm (0.097, 0.903, 0.750)
Pm (0.903, 0.097, 0.250)
Er (0.370, 0.630, 0.537)
Er (0.370, 0.630, 0.963)
Er (0.630, 0.370, 0.037)
Er (0.630, 0.370, 0.463)
W (0.162, 0.838, 0.250)
W (0.838, 0.162, 0.750)
N (0.000, 0.000, 0.000)
N (0.000, 0.000, 0.500)
N (0.262, 0.738, 0.121)
N (0.262, 0.738, 0.379)
N (0.441, 0.559, 0.750)
N (0.559, 0.441, 0.250)
N (0.738, 0.262, 0.621)
N (0.738, 0.262, 0.879)

This record from Alexandria via LeMat-Bulk describes a relaxed PmYEr2N4 crystal. The functional is PBE.

Values from the calculation:
- spin magnetization (Bohr magnetons per cell) = 0.0
- SG = P2/m
- theoretical density (g/cm³) = 8.63
- Fermi-level density of states (states/eV/f.u.) = 0.2
- formation energy without anion corrections (eV per formula unit) = -13.25

Lattice parameters (Å, degrees): 6.041 3.489 6.043 90.00 109.43 90.00
Positions (direct):
Pm (0.000, 0.000, 0.000)
Y (0.500, 0.500, 0.000)
Er (0.000, 0.500, 0.500)
Er (0.500, 0.000, 0.500)
N (0.251, 0.000, 0.744)
N (0.256, 0.500, 0.259)
N (0.744, 0.500, 0.741)
N (0.749, 0.000, 0.256)

This record from Alexandria via LeMat-Bulk describes a relaxed PmY2ErN4 crystal. The functional is PBE.

Values from the calculation:
- spin magnetization (Bohr magnetons per cell) = 0.0
- SG = P2/m
- theoretical density (g/cm³) = 7.47
- Fermi-level density of states (states/eV/f.u.) = 0.2
- formation energy without anion corrections (eV per formula unit) = -13.07

Lattice parameters (Å, degrees): 6.064 3.502 6.065 90.00 109.44 90.00
Positions (direct):
Pm (0.000, 0.000, 0.000)
Y (0.500, 0.000, 0.500)
Y (0.500, 0.500, 0.000)
Er (0.000, 0.500, 0.500)
N (0.250, 0.000, 0.745)
N (0.254, 0.500, 0.256)
N (0.746, 0.500, 0.744)
N (0.750, 0.000, 0.255)

This record from Alexandria via LeMat-Bulk describes a relaxed Pm2YErN4 crystal. The functional is PBE.

Values from the calculation:
- spin magnetization (Bohr magnetons per cell) = 0.0
- SG = P2/m
- theoretical density (g/cm³) = 8.00
- Fermi-level density of states (states/eV/f.u.) = 0.2
- formation energy without anion corrections (eV per formula unit) = -12.56

Lattice parameters (Å, degrees): 6.119 3.535 6.124 90.00 109.42 90.00
Positions (direct):
Pm (0.000, 0.000, 0.000)
Pm (0.500, 0.500, 0.000)
Y (0.000, 0.500, 0.500)
Er (0.500, 0.000, 0.500)
N (0.249, 0.000, 0.741)
N (0.255, 0.500, 0.260)
N (0.745, 0.500, 0.740)
N (0.751, 0.000, 0.259)

This record from Alexandria via LeMat-Bulk describes a relaxed Pm2ErZrN4 crystal. The functional is PBE.

Values from the calculation:
- spin magnetization (Bohr magnetons per cell) = 0.0
- SG = P2/m
- theoretical density (g/cm³) = 8.53
- Fermi-level density of states (states/eV/f.u.) = 1.1
- formation energy without anion corrections (eV per formula unit) = -12.85

Lattice parameters (Å, degrees): 5.980 3.451 6.034 90.00 109.12 90.00
Positions (direct):
Pm (0.000, 0.000, 0.000)
Pm (0.500, 0.500, 0.000)
Er (0.000, 0.500, 0.500)
Zr (0.500, 0.000, 0.500)
N (0.253, 0.000, 0.729)
N (0.266, 0.500, 0.275)
N (0.734, 0.500, 0.725)
N (0.747, 0.000, 0.271)

This record from Alexandria via LeMat-Bulk describes a relaxed Pm3ErZr2N6 crystal. The functional is PBE.

Values from the calculation:
- spin magnetization (Bohr magnetons per cell) = 0.0
- SG = C2/m
- theoretical density (g/cm³) = 8.29
- Fermi-level density of states (states/eV/f.u.) = 1.6
- formation energy without anion corrections (eV per formula unit) = -19.27

Lattice parameters (Å, degrees): 5.943 5.943 6.024 99.45 99.45 120.00
Positions (direct):
Pm (0.000, 0.000, 0.000)
Pm (0.334, 0.666, 0.000)
Pm (0.666, 0.334, 0.000)
Er (0.500, 0.500, 0.500)
Zr (0.166, 0.834, 0.500)
Zr (0.834, 0.166, 0.500)
N (0.082, 0.425, 0.275)
N (0.231, 0.231, 0.723)
N (0.425, 0.082, 0.275)
N (0.575, 0.918, 0.725)
N (0.769, 0.769, 0.277)
N (0.918, 0.575, 0.725)

This record from Alexandria via LeMat-Bulk describes a relaxed PmErZr2N4 crystal. The functional is PBE.

Values from the calculation:
- spin magnetization (Bohr magnetons per cell) = 0.0
- SG = P2/m
- theoretical density (g/cm³) = 8.38
- Fermi-level density of states (states/eV/f.u.) = 3.1
- formation energy without anion corrections (eV per formula unit) = -13.30

Lattice parameters (Å, degrees): 5.827 3.362 5.897 90.00 109.22 90.00
Positions (direct):
Pm (0.000, 0.000, 0.000)
Er (0.500, 0.500, 0.000)
Zr (0.000, 0.500, 0.500)
Zr (0.500, 0.000, 0.500)
N (0.251, 0.000, 0.732)
N (0.265, 0.500, 0.275)
N (0.735, 0.500, 0.725)
N (0.749, 0.000, 0.268)

> Look up the Fermi-level density of states of the first one.

3.1 states/eV/f.u.